Entry 1:
First-principles (PBE) data for Tb2ZnGa3Au4 after structural relaxation, as listed in the Alexandria database.

ΔH_f (0 K) (eV per atom): -0.58
SG: P-4m2, No. 115

Cell lengths 4.344, 4.344, 10.659 Å; angles 90.00, 90.00, 90.00 degrees
Atoms (fractional coordinates):
Tb (0.000, 0.500, 0.749)
Tb (0.500, 0.000, 0.251)
Zn (0.500, 0.500, 0.500)
Ga (0.000, 0.000, 0.500)
Ga (0.000, 0.500, 0.134)
Ga (0.500, 0.000, 0.866)
Au (0.500, 0.000, 0.635)
Au (0.000, 0.000, 0.000)
Au (0.500, 0.500, 0.000)
Au (0.000, 0.500, 0.365)


Entry 2:
First-principles (PBE) data for TbZnGa3Au after structural relaxation, as listed in the Alexandria database.

ΔH_f (0 K) (eV per atom): -0.20
SG: Cmcm, No. 63

Cell lengths 5.771, 5.603, 8.797 Å; angles 108.57, 90.00, 90.00 degrees
Atoms (fractional coordinates):
Zn (0.750, 0.902, 0.805)
Zn (0.250, 0.098, 0.195)
Au (0.250, 0.394, 0.787)
Au (0.750, 0.606, 0.213)
Ga (0.000, 0.746, 0.000)
Ga (0.250, 0.245, 0.489)
Ga (0.000, 0.254, 0.000)
Ga (0.750, 0.755, 0.511)
Ga (0.500, 0.254, 0.000)
Ga (0.500, 0.746, 0.000)
Tb (0.750, 0.328, 0.656)
Tb (0.250, 0.672, 0.344)


Entry 3:
First-principles (PBE) data for Tb2Zn4Ga3Au after structural relaxation, as listed in the Alexandria database.

ΔH_f (0 K) (eV per atom): -0.44
SG: P-4m2, No. 115

Cell lengths 4.191, 4.191, 10.709 Å; angles 90.00, 90.00, 90.00 degrees
Atoms (fractional coordinates):
Tb (0.500, 0.000, 0.246)
Tb (0.000, 0.500, 0.754)
Zn (0.000, 0.500, 0.359)
Zn (0.500, 0.000, 0.641)
Zn (0.500, 0.500, 0.000)
Zn (0.000, 0.000, 0.000)
Au (0.500, 0.500, 0.500)
Ga (0.000, 0.000, 0.500)
Ga (0.500, 0.000, 0.865)
Ga (0.000, 0.500, 0.135)


Entry 4:
First-principles (PBE) data for TbZnGa2Au after structural relaxation, as listed in the Alexandria database.

ΔH_f (0 K) (eV per atom): -0.53
SG: I-4m2, No. 119

Cell lengths 4.199, 4.199, 6.199 Å; angles 109.80, 109.80, 90.00 degrees
Atoms (fractional coordinates):
Ga (0.611, 0.611, 0.222)
Ga (0.389, 0.389, 0.778)
Au (0.750, 0.250, 0.500)
Tb (0.000, 0.000, 0.000)
Zn (0.250, 0.750, 0.500)


Entry 5:
First-principles (PBE) data for Tb3ZnGa2Au6 after structural relaxation, as listed in the Alexandria database.

ΔH_f (0 K) (eV per atom): -0.50
SG: P-3m1, No. 164

Cell lengths 5.989, 5.989, 8.389 Å; angles 90.00, 90.00, 120.00 degrees
Atoms (fractional coordinates):
Ga (0.667, 0.333, 0.000)
Ga (0.333, 0.667, 0.000)
Au (0.351, 0.175, 0.724)
Au (0.175, 0.351, 0.276)
Au (0.649, 0.825, 0.276)
Au (0.175, 0.825, 0.276)
Au (0.825, 0.175, 0.724)
Au (0.825, 0.649, 0.724)
Tb (0.333, 0.667, 0.622)
Tb (0.000, 0.000, 0.000)
Tb (0.667, 0.333, 0.378)
Zn (0.000, 0.000, 0.500)


Entry 6:
First-principles (PBE) data for Ga2TcAu2 after structural relaxation, as listed in the Alexandria database.

ΔH_f (0 K) (eV per atom): 0.27
SG: P4/mbm, No. 127
Energy relative to the lowest polymorph listed for this composition (eV per formula unit): 0.54

Cell lengths 7.612, 7.612, 2.898 Å; angles 90.00, 90.00, 90.00 degrees
Atoms (fractional coordinates):
Tc (0.000, 0.000, 0.000)
Tc (0.500, 0.500, 0.000)
Ga (0.671, 0.829, 0.500)
Ga (0.171, 0.671, 0.500)
Ga (0.329, 0.171, 0.500)
Ga (0.829, 0.329, 0.500)
Au (0.632, 0.132, 0.000)
Au (0.868, 0.632, 0.000)
Au (0.132, 0.368, 0.000)
Au (0.368, 0.868, 0.000)


Entry 7:
First-principles (PBE) data for Ga2TcAu2 after structural relaxation, as listed in the Alexandria database.

ΔH_f (0 K) (eV per atom): 0.31
SG: I4/mmm, No. 139
Energy relative to the lowest polymorph listed for this composition (eV per formula unit): 0.71

Cell lengths 3.736, 3.736, 6.835 Å; angles 74.14, 74.14, 90.00 degrees
Site moments in Bohr magnetons follow the coordinates.
Atoms (fractional coordinates):
Au (0.250, 0.750, 0.500)  0.01
Au (0.750, 0.250, 0.500)  0.01
Ga (0.405, 0.405, 0.191)  -0.02
Ga (0.595, 0.595, 0.809)  -0.02
Tc (0.000, 0.000, 0.000)  0.83


Entry 8:
First-principles (PBE) data for Ga8Tc2Au after structural relaxation, as listed in the Alexandria database.

ΔH_f (0 K) (eV per atom): -0.04
SG: C2/m, No. 12

Cell lengths 5.089, 6.842, 6.842 Å; angles 54.80, 98.49, 98.49 degrees
Atoms (fractional coordinates):
Ga (0.141, 0.417, 0.417)
Ga (0.601, 0.178, 0.634)
Ga (0.859, 0.583, 0.583)
Ga (0.158, 0.790, 0.790)
Ga (0.842, 0.210, 0.210)
Ga (0.399, 0.822, 0.366)
Ga (0.399, 0.366, 0.822)
Ga (0.601, 0.634, 0.178)
Tc (0.646, 0.761, 0.761)
Tc (0.354, 0.239, 0.239)
Au (0.000, 0.000, 0.000)